(1)
Density functional theory data (PBE-GGA) for a relaxed Tb3CeIn4 crystal.

It has space group R-3m (No. 166, hexagonal axes), with a = 5.3651 Å, b = 5.3651 Å, c = 26.4145 Å, α = 90.00°, β = 90.00° and γ = 120.00°. Symmetry generates all atoms from Tb at (0.0000, 0.0000, 0.0000), Tb at (0.0000, 0.0000, 0.2504), Ce at (0.0000, 0.0000, 0.5000), In at (0.0000, 0.0000, 0.1238) and In at (0.0000, 0.0000, 0.3739).

The total energy is -102.8 eV per cell.


(2)
Density functional theory data (PBE-GGA) for a relaxed TbCeIn crystal.

It has space group P3m1 (No. 156), with a = 5.3704 Å, b = 5.3704 Å, c = 3.2087 Å, α = 90.00°, β = 90.00° and γ = 120.00°. Symmetry generates all atoms from Tb at (0.0000, 0.0000, 0.0000), Ce at (0.3333, 0.6667, 0.0040) and In at (0.6667, 0.3333, 0.5032).

Its relative energy among the computed polymorphs is 174 meV per atom.


What is the formula in the second record? TbCeIn